No. 1
# ZnGa2Mo

A relaxed ZnGa2Mo crystal (GGA-PBE, the Alexandria database).

The structure in extended XYZ format:
```
8
Lattice="6.935 0.000 0.000 0.000 6.935 0.000 3.467 3.467 2.708" Properties=species:S:1:pos:R:3 pbc="T T T"
Mo 0.000 0.000 0.000
Ga 8.669 8.555 2.031
Ga 5.201 5.315 2.031
Mo 6.935 3.467 1.354
Ga 1.848 5.201 0.677
Zn 3.467 3.467 0.000
Ga 5.087 1.734 0.677
Zn 3.467 6.935 1.354
```

Computed properties:
- E_tot: -4.24 eV per atom
- Total magnetization: 0.00 μB per formula unit

No. 2
# ZnGa2Mo

A relaxed ZnGa2Mo crystal (GGA-PBE, the Alexandria database).

The structure in extended XYZ format:
```
4
Lattice="-1.260 -2.133 -2.557 2.907 -2.791 0.896 -2.541 -1.771 2.730" Properties=species:S:1:pos:R:3 pbc="T T T"
Mo -0.630 -1.067 -1.278
Ga 1.454 -1.395 0.448
Ga -1.271 -0.885 1.365
Zn -0.447 -3.347 0.535
```

Computed properties:
- E_tot: -4.50 eV per atom
- Total magnetization: 0.01 μB per formula unit

No. 3
# ZrGa4Mo

A relaxed ZrGa4Mo crystal (GGA-PBE, the Alexandria database).

The structure in extended XYZ format:
```
12
Lattice="-5.780 -0.061 -3.643 2.705 -3.063 -4.204 -1.537 -4.816 2.519" Properties=species:S:1:pos:R:3 pbc="T T T"
Ga -3.346 -4.823 1.322
Zr 0.731 -6.364 -1.026
Ga 0.709 -5.432 -3.707
Zr 0.437 -1.515 -0.659
Ga -5.320 -2.508 -1.622
Ga -0.665 -3.967 -1.570
Ga -1.265 -3.117 -6.651
Ga -4.136 -6.341 -2.061
Mo -1.876 -5.507 -3.312
Ga -3.947 -3.973 -3.759
Mo -2.736 -2.432 -2.017
Ga -0.476 -1.599 -3.268
```

Computed properties:
- E_tot: -5.41 eV per atom
- Total magnetization: 0.00 μB per formula unit

No. 4
# Zr2GaMo2

A relaxed Zr2GaMo2 crystal (GGA-PBE, the Alexandria database).

The structure in extended XYZ format:
```
10
Lattice="-2.380 5.867 -2.372 0.120 -2.492 -6.284 -3.984 -1.419 0.487" Properties=species:S:1:pos:R:3 pbc="T T T"
Mo -0.785 0.016 -6.378
Mo -1.475 3.360 -2.278
Ga 0.000 0.000 0.000
Mo -0.256 -0.191 -2.648
Zr -2.739 0.742 -1.636
Zr -2.333 -1.357 -4.433
Zr -3.911 3.314 -3.736
Mo -2.005 3.566 -6.008
Ga -1.130 1.688 -4.328
Zr -3.505 1.214 -6.533
```

Computed properties:
- E_tot: -8.34 eV per atom
- Total magnetization: 0.00 μB per formula unit

No. 5
# ZrGaMo3

A relaxed ZrGaMo3 crystal (GGA-PBE, the Alexandria database).

The structure in extended XYZ format:
```
5
Lattice="-1.314 3.928 -2.450 -3.776 0.565 2.930 2.679 2.722 2.928" Properties=species:S:1:pos:R:3 pbc="T T T"
Mo -0.657 1.964 -1.225
Mo -1.888 0.282 1.465
Ga -1.205 3.607 1.704
Mo 1.339 1.361 1.464
Zr 0.000 0.000 0.000
```

Computed properties:
- Excess energy over the best structure of this formula in the dataset: 0.883 eV per atom
- Total magnetization: 0.00 μB per formula unit

No. 6
# ZrGa3Mo

A relaxed ZrGa3Mo crystal (GGA-PBE, the Alexandria database).

The structure in extended XYZ format:
```
10
Lattice="4.356 -0.001 0.000 0.001 5.993 0.000 0.000 0.000 6.795" Properties=species:S:1:pos:R:3 pbc="T T T"
Ga 1.090 3.259 1.887
Mo 3.268 4.494 2.967
Zr 1.090 4.495 5.068
Ga 1.090 5.730 1.887
Ga 3.267 0.262 4.908
Ga 3.268 2.733 4.908
Mo 1.089 1.498 3.828
Ga 3.268 4.494 0.325
Zr 3.267 1.498 1.727
Ga 1.089 1.498 6.470
```

Computed properties:
- Excess energy over the best structure of this formula in the dataset: 0.000 eV per atom
- Total magnetization: 0.00 μB per formula unit

No. 7
# Zr2GaMo

A relaxed Zr2GaMo crystal (GGA-PBE, the Alexandria database).

The structure in extended XYZ format:
```
8
Lattice="-1.323 2.295 -7.085 -7.434 0.033 1.399 -4.209 3.850 -2.005" Properties=species:S:1:pos:R:3 pbc="T T T"
Zr -6.350 3.760 -3.653
Zr -5.848 1.242 -0.426
Ga -8.011 2.523 -1.724
Zr -2.825 2.429 -4.841
Mo 0.000 0.000 0.000
Mo -4.956 3.654 -5.967
Ga -4.379 1.164 -2.843
Zr -10.911 4.925 -6.462
```

Computed properties:
- E_tot: -7.46 eV per atom
- Total magnetization: 0.00 μB per formula unit

No. 8
# Zr2Ga2Mo

A relaxed Zr2Ga2Mo crystal (GGA-PBE, the Alexandria database).

The structure in extended XYZ format:
```
10
Lattice="7.007 0.000 0.000 0.000 7.007 0.000 0.000 0.000 3.733" Properties=species:S:1:pos:R:3 pbc="T T T"
Ga 4.391 0.887 0.000
Mo 3.503 3.503 0.000
Ga 2.616 6.120 0.000
Zr 2.256 1.247 1.867
Zr 5.760 2.256 1.867
Ga 0.887 2.616 0.000
Zr 1.247 4.751 1.867
Mo 0.000 0.000 0.000
Ga 6.120 4.391 0.000
Zr 4.751 5.760 1.867
```

Computed properties:
- E_tot: -7.24 eV per atom
- Total magnetization: 0.00 μB per formula unit